Record 1
Below is a crystal of NaMg30GaO32 relaxed with PBEsol, with properties calculated at the meta-GGA SCAN level.

```
64
Lattice="8.452 0.000 0.000 0.000 8.452 0.000 0.000 0.000 8.456" Properties=species:S:1:pos:R:3 pbc="T T T"
Na 0.000 0.000 0.000
Mg 0.000 0.000 4.228
Mg 0.000 2.094 2.106
Mg 0.000 2.094 6.350
Mg 0.000 4.226 0.000
Mg 0.000 4.226 4.228
Mg 0.000 6.358 2.106
Mg 0.000 6.358 6.350
Mg 2.082 2.082 0.000
Mg 2.082 6.370 0.000
Mg 2.094 0.000 2.106
Mg 2.094 0.000 6.350
Mg 2.094 4.226 2.125
Mg 2.094 4.226 6.331
Mg 2.103 2.103 4.228
Mg 2.103 6.349 4.228
Mg 4.226 0.000 0.000
Mg 4.226 0.000 4.228
Mg 4.226 2.094 2.125
Mg 4.226 2.094 6.331
Mg 4.226 4.226 4.228
Mg 4.226 6.358 2.125
Mg 4.226 6.358 6.331
Mg 6.349 2.103 4.228
Mg 6.349 6.349 4.228
Mg 6.358 0.000 2.106
Mg 6.358 0.000 6.350
Mg 6.358 4.226 2.125
Mg 6.358 4.226 6.331
Mg 6.370 2.082 0.000
Mg 6.370 6.370 0.000
Ga 4.226 4.226 0.000
O 0.000 0.000 2.219
O 0.000 0.000 6.237
O 0.000 2.139 4.228
O 0.000 2.234 0.000
O 0.000 4.226 2.119
O 0.000 4.226 6.337
O 0.000 6.218 0.000
O 0.000 6.313 4.228
O 2.120 2.120 2.110
O 2.120 2.120 6.346
O 2.120 6.332 2.110
O 2.120 6.332 6.346
O 2.139 0.000 4.228
O 2.135 4.226 4.228
O 2.205 4.226 0.000
O 2.234 0.000 0.000
O 4.226 0.000 2.119
O 4.226 0.000 6.337
O 4.226 2.135 4.228
O 4.226 2.205 0.000
O 4.226 4.226 2.055
O 4.226 4.226 6.401
O 4.226 6.246 0.000
O 4.226 6.317 4.228
O 6.218 0.000 0.000
O 6.246 4.226 0.000
O 6.313 0.000 4.228
O 6.317 4.226 4.228
O 6.332 2.120 2.110
O 6.332 2.120 6.346
O 6.332 6.332 2.110
O 6.332 6.332 6.346
```

Computed properties:
The total magnetization comes out at 0.0000 μB/atom. Its volume is 604 Å³/f.u. Its density of states at the Fermi level is 0.00 states/eV per atom. Its uncorrected formation energy is -2938 meV/atom.

***

Record 2
Below is a crystal of Ce2AlGe6 relaxed with PBEsol, with properties calculated at the meta-GGA SCAN level.

```
18
Lattice="4.162 -4.249 0.000 4.162 4.249 0.000 -2.139 0.000 10.271" Properties=species:S:1:pos:R:3 pbc="T T T"
Ce 2.026 2.138 6.812
Ce 4.159 2.138 3.459
Ce 2.026 -2.138 6.812
Ce 4.159 -2.138 3.459
Al -0.056 0.000 8.195
Al 6.241 0.000 2.077
Ge 2.083 1.819 1.202
Ge 0.312 0.000 1.200
Ge 0.045 0.000 5.725
Ge 2.152 0.000 4.214
Ge 3.849 0.000 1.203
Ge 2.083 -1.819 1.202
Ge 4.102 1.819 9.069
Ge 2.336 0.000 9.069
Ge 4.034 0.000 6.057
Ge 6.140 0.000 4.546
Ge 5.873 0.000 9.071
Ge 4.102 -1.819 9.069
```

Computed properties:
The total magnetization comes out at 0.2057 μB/atom. Its volume is 182 Å³/f.u. Its density of states at the Fermi level is 0.76 states/eV per atom. The calculation puts the raw total energy at -23.968 eV/atom.

***

Record 3
Below is a crystal of Ba2MnPd relaxed with PBEsol, with properties calculated at the meta-GGA SCAN level.

```
4
Lattice="0.000 3.886 3.886 3.886 0.000 3.886 3.886 3.886 0.000" Properties=species:S:1:pos:R:3 pbc="T T T"
Ba 1.943 1.943 1.943
Ba 5.829 5.829 5.829
Mn 0.000 0.000 0.000
Pd 3.886 3.886 3.886
```

Computed properties:
The total magnetization comes out at 0.9969 μB/atom. Its volume is 117 Å³/f.u. Its density of states at the Fermi level is 0.79 states/eV per atom. The calculation puts the raw total energy at -32.489 eV/atom.

***

Record 4
Below is a crystal of Nb3Zn3N relaxed with PBEsol, with properties calculated at the meta-GGA SCAN level.

```
28
Lattice="0.000 5.792 5.792 5.792 0.000 5.792 5.792 5.792 0.000" Properties=species:S:1:pos:R:3 pbc="T T T"
Nb 4.344 4.344 0.669
Nb 4.344 0.669 4.344
Nb 8.020 4.344 4.344
Nb 7.240 7.240 3.565
Nb 7.240 3.565 7.240
Nb 10.916 7.240 7.240
Nb 0.669 4.344 4.344
Nb 4.344 8.020 4.344
Nb 4.344 4.344 8.020
Nb 3.565 7.240 7.240
Nb 7.240 10.916 7.240
Nb 7.240 7.240 10.916
Zn 5.792 2.896 2.896
Zn 3.392 3.392 3.392
Zn 5.296 5.296 3.392
Zn 5.296 3.392 5.296
Zn 8.192 6.288 6.288
Zn 2.896 5.792 2.896
Zn 2.896 2.896 5.792
Zn 5.792 5.792 5.792
Zn 3.392 5.296 5.296
Zn 6.288 8.192 6.288
Zn 6.288 6.288 8.192
Zn 8.192 8.192 8.192
N 0.000 0.000 0.000
N 2.896 2.896 0.000
N 2.896 0.000 2.896
N 0.000 2.896 2.896
```

Computed properties:
The total magnetization comes out at 0.0000 μB/atom. Its volume is 97 Å³/f.u. Its density of states at the Fermi level is 0.54 states/eV per atom. Its uncorrected formation energy is -602 meV/atom.

***

Record 5
Below is a crystal of K6Na3Ti2Al2Si8Cl3O26 relaxed with PBEsol, with properties calculated at the meta-GGA SCAN level.

```
50
Lattice="5.187 -8.160 0.000 5.187 8.160 0.000 -2.434 0.000 8.830" Properties=species:S:1:pos:R:3 pbc="T T T"
K 1.919 2.315 0.954
K 0.120 0.000 3.077
K 1.919 -2.315 0.954
K 6.020 2.315 7.877
K 7.820 0.000 5.754
K 6.020 -2.315 7.877
Na 3.970 1.907 4.415
Na 5.187 0.000 0.000
Na 3.970 -1.907 4.415
Ti 1.376 4.080 4.415
Ti 1.376 -4.080 4.415
Al 5.187 3.026 0.000
Al 5.187 -3.026 0.000
Si 3.998 4.721 2.459
Si 1.073 1.599 6.496
Si 3.942 4.721 6.371
Si 1.073 -1.599 6.496
Si 6.867 1.599 2.335
Si 3.998 -4.721 2.459
Si 6.867 -1.599 2.335
Si 3.942 -4.721 6.371
Cl 0.000 0.000 0.000
Cl 3.266 0.000 2.433
Cl 4.673 0.000 6.397
O -0.538 1.943 6.561
O 2.498 5.045 5.711
O 2.943 3.788 3.278
O 1.804 2.394 5.299
O 4.175 4.065 0.968
O -0.538 -1.943 6.561
O 1.712 1.912 7.958
O 1.149 0.000 6.181
O 5.442 5.045 3.119
O 3.765 4.065 7.862
O 4.996 3.788 5.553
O 1.804 -2.394 5.299
O 1.712 -1.912 7.958
O 6.228 1.912 0.872
O 6.136 2.394 3.531
O 2.943 -3.788 3.278
O 4.175 -4.065 0.968
O 2.498 -5.045 5.711
O 6.791 0.000 2.649
O 6.228 -1.912 0.872
O 8.477 1.943 2.270
O 3.765 -4.065 7.862
O 6.136 -2.394 3.531
O 4.996 -3.788 5.553
O 5.442 -5.045 3.119
O 8.477 -1.943 2.270
```

Computed properties:
The total magnetization comes out at 0.0000 μB/atom. Its volume is 747 Å³/f.u. Its density of states at the Fermi level is 0.00 states/eV per atom. Its uncorrected formation energy is -2901 meV/atom.

***

Record 6
Below is a crystal of RbY2NO relaxed with PBEsol, with properties calculated at the meta-GGA SCAN level.

```
5
Lattice="4.517 0.000 0.000 0.000 4.517 0.000 0.000 0.000 5.696" Properties=species:S:1:pos:R:3 pbc="T T T"
Rb 0.000 0.000 0.000
Y 0.000 2.258 2.848
Y 2.258 0.000 2.848
N 0.000 0.000 2.848
O 2.258 2.258 0.000
```

Computed properties:
The total magnetization comes out at 0.0000 μB/atom. Its volume is 116 Å³/f.u. Its density of states at the Fermi level is 0.38 states/eV per atom. Its uncorrected formation energy is -565 meV/atom.

***

Record 7
Below is a crystal of IrRuRh2 relaxed with PBEsol, with properties calculated at the meta-GGA SCAN level.

```
4
Lattice="-1.888 1.888 3.799 1.888 -1.888 3.799 1.888 1.888 -3.799" Properties=species:S:1:pos:R:3 pbc="T T T"
Ir 0.000 0.000 0.000
Ru 0.000 0.000 3.799
Rh 1.888 0.000 1.900
Rh 0.000 1.888 1.900
```

Computed properties:
The total magnetization comes out at 0.0000 μB/atom. Its volume is 54 Å³/f.u. Its density of states at the Fermi level is 1.00 states/eV per atom. The calculation puts the raw total energy at -43.364 eV/atom.

***

Record 8
Below is a crystal of AgHgS3 relaxed with PBEsol, with properties calculated at the meta-GGA SCAN level.

```
5
Lattice="4.919 0.000 0.000 0.000 4.919 0.000 0.000 0.000 4.919" Properties=species:S:1:pos:R:3 pbc="T T T"
Ag 0.000 0.000 0.000
Hg 2.460 2.460 2.460
S 0.000 2.460 2.460
S 2.460 0.000 2.460
S 2.460 2.460 0.000
```

Computed properties:
The total magnetization comes out at 0.0002 μB/atom. Its volume is 119 Å³/f.u. Its density of states at the Fermi level is 1.11 states/eV per atom. Its uncorrected formation energy is 934 meV/atom.

***

Record 9
Below is a crystal of ErAl4Mo2 relaxed with PBEsol, with properties calculated at the meta-GGA SCAN level.

```
7
Lattice="-3.329 3.329 2.648 3.329 -3.329 2.648 3.329 3.329 -2.648" Properties=species:S:1:pos:R:3 pbc="T T T"
Er 0.000 0.000 0.000
Al 2.031 2.031 0.000
Al 1.298 -1.298 2.648
Al -1.298 1.298 2.648
Al 1.298 1.298 2.648
Mo 3.329 0.000 1.324
Mo 0.000 3.329 1.324
```

Computed properties:
The total magnetization comes out at 0.0127 μB/atom. Its volume is 117 Å³/f.u. Its density of states at the Fermi level is 0.45 states/eV per atom. The calculation puts the raw total energy at -22.005 eV/atom.

***

Record 10
Below is a crystal of LiNi2P2O8 relaxed with PBEsol, with properties calculated at the meta-GGA SCAN level.

```
52
Lattice="9.784 0.000 0.000 0.000 4.864 0.000 0.000 0.000 13.876" Properties=species:S:1:pos:R:3 pbc="T T T"
Li 2.260 0.287 0.000
Li 2.632 0.287 6.938
Li 7.152 4.577 0.000
Li 7.524 4.577 6.938
Ni 0.386 2.738 13.862
Ni 2.271 0.301 3.450
Ni 2.621 0.301 10.388
Ni 4.506 2.738 6.924
Ni 5.278 2.126 13.862
Ni 7.163 4.562 3.450
Ni 7.513 4.562 10.388
Ni 9.398 2.126 6.924
P 0.204 4.512 8.695
P 2.023 2.748 5.196
P 2.869 2.748 12.135
P 4.688 4.512 1.757
P 5.096 0.351 8.695
P 6.915 2.115 5.196
P 7.761 2.115 12.135
P 9.580 0.351 1.757
O 0.052 2.986 8.495
O 0.461 4.785 3.072
O 0.471 4.551 0.513
O 0.509 2.490 5.377
O 1.702 0.055 8.712
O 2.152 2.165 13.394
O 2.339 4.269 5.166
O 2.385 2.107 10.827
O 2.507 2.107 3.888
O 2.553 4.269 12.104
O 2.740 2.165 6.456
O 3.190 0.055 1.774
O 4.383 2.490 12.315
O 4.421 4.551 7.451
O 4.431 4.785 10.010
O 4.840 2.986 1.556
O 4.944 1.878 8.495
O 5.353 0.079 3.072
O 5.363 0.313 0.513
O 5.401 2.374 5.377
O 6.594 4.808 8.712
O 7.044 2.699 13.394
O 7.231 0.595 5.166
O 7.277 2.757 10.827
O 7.399 2.757 3.888
O 7.445 0.595 12.104
O 7.632 2.699 6.456
O 8.082 4.808 1.774
O 9.275 2.374 12.315
O 9.312 0.313 7.451
O 9.323 0.079 10.010
O 9.732 1.878 1.556
```

Computed properties:
The total magnetization comes out at 0.3846 μB/atom. Its volume is 165 Å³/f.u. Its density of states at the Fermi level is 0.35 states/eV per atom. Its uncorrected formation energy is -1982 meV/atom.

***

Record 11
Below is a crystal of K2SiRh relaxed with PBEsol, with properties calculated at the meta-GGA SCAN level.

```
4
Lattice="3.879 0.000 0.000 0.000 3.879 0.000 0.000 0.000 5.383" Properties=species:S:1:pos:R:3 pbc="T T T"
K 0.000 1.939 0.000
K 1.939 0.000 0.000
Si 0.000 0.000 2.691
Rh 1.939 1.939 2.691
```

Computed properties:
The total magnetization comes out at 0.0004 μB/atom. Its volume is 81 Å³/f.u. Its density of states at the Fermi level is 0.70 states/eV per atom. Its uncorrected formation energy is 586 meV/atom.

***

Record 12
Below is a crystal of LiCu2Pt relaxed with PBEsol, with properties calculated at the meta-GGA SCAN level.

```
4
Lattice="-1.439 2.012 4.152 1.439 -2.012 4.152 1.439 2.012 -4.152" Properties=species:S:1:pos:R:3 pbc="T T T"
Li 0.000 0.000 0.000
Cu 1.439 0.000 2.010
Cu 0.000 2.012 2.142
Pt 0.000 0.000 4.152
```

Computed properties:
The total magnetization comes out at 0.0000 μB/atom. Its volume is 48 Å³/f.u. Its density of states at the Fermi level is 0.31 states/eV per atom. The calculation puts the raw total energy at -25.991 eV/atom.

***

Record 13
Below is a crystal of Li2CoCl relaxed with PBEsol, with properties calculated at the meta-GGA SCAN level.

```
4
Lattice="1.510 0.872 8.125 -1.510 0.872 8.125 0.000 -1.744 8.125" Properties=species:S:1:pos:R:3 pbc="T T T"
Li 0.000 0.000 0.000
Li 0.000 0.000 5.368
Co 0.000 0.000 11.463
Cl 0.000 0.000 17.845
```

Computed properties:
The total magnetization comes out at 0.4679 μB/atom. Its volume is 64 Å³/f.u. Its density of states at the Fermi level is 0.32 states/eV per atom. Its uncorrected formation energy is -249 meV/atom.

***

Record 14
Below is a crystal of Pt2C3 relaxed with PBEsol, with properties calculated at the meta-GGA SCAN level.

```
10
Lattice="0.000 8.402 1.414 5.024 0.000 1.414 5.024 8.402 0.000" Properties=species:S:1:pos:R:3 pbc="T T T"
Pt 5.102 5.396 1.414
Pt 7.458 9.597 2.121
Pt 4.946 11.409 1.414
Pt 7.614 15.610 2.121
C 5.703 7.274 1.200
C 5.024 8.402 1.315
C 4.345 9.531 1.200
C 8.215 13.732 1.907
C 6.857 11.475 1.907
C 7.536 12.604 2.022
```

Computed properties:
The total magnetization comes out at 0.0000 μB/atom. Its volume is 60 Å³/f.u. Its density of states at the Fermi level is 0.28 states/eV per atom. The calculation puts the raw total energy at -33.172 eV/atom.

***

Record 15
Below is a crystal of AgRuRh2 relaxed with PBEsol, with properties calculated at the meta-GGA SCAN level.

```
4
Lattice="2.703 0.000 0.000 0.000 4.399 0.000 0.000 0.000 4.748" Properties=species:S:1:pos:R:3 pbc="T T T"
Ag 0.000 0.000 0.000
Ru 0.000 2.199 1.603
Rh 1.351 0.000 2.362
Rh 1.351 2.199 3.898
```

Computed properties:
The total magnetization comes out at 0.2321 μB/atom. Its volume is 56 Å³/f.u. Its density of states at the Fermi level is 1.17 states/eV per atom. The calculation puts the raw total energy at -33.105 eV/atom.

***

Record 16
Below is a crystal of LiGe2Pd2 relaxed with PBEsol, with properties calculated at the meta-GGA SCAN level.

```
5
Lattice="-2.025 2.025 5.236 2.025 -2.025 5.236 2.025 2.025 -5.236" Properties=species:S:1:pos:R:3 pbc="T T T"
Li 0.000 0.000 0.000
Ge 0.000 0.000 4.036
Ge 0.000 0.000 6.435
Pd 2.025 0.000 2.618
Pd 0.000 2.025 2.618
```

Computed properties:
The total magnetization comes out at 0.0000 μB/atom. Its volume is 86 Å³/f.u. Its density of states at the Fermi level is 0.34 states/eV per atom. The calculation puts the raw total energy at -21.717 eV/atom.

***

Record 17
Below is a crystal of La2InAu relaxed with PBEsol, with properties calculated at the meta-GGA SCAN level.

```
4
Lattice="5.126 0.000 0.000 0.000 5.126 0.000 0.000 0.000 4.138" Properties=species:S:1:pos:R:3 pbc="T T T"
La 0.000 2.563 0.000
La 2.563 0.000 0.000
In 0.000 0.000 2.069
Au 2.563 2.563 2.069
```

Computed properties:
The total magnetization comes out at 0.0002 μB/atom. Its volume is 109 Å³/f.u. Its density of states at the Fermi level is 0.69 states/eV per atom. The calculation puts the raw total energy at -47.950 eV/atom.

***

Record 18
Below is a crystal of K2TaAg relaxed with PBEsol, with properties calculated at the meta-GGA SCAN level.

```
4
Lattice="2.798 0.000 0.000 0.000 6.060 0.000 -0.241 0.000 5.704" Properties=species:S:1:pos:R:3 pbc="T T T"
K 0.617 0.000 1.479
K 1.940 0.000 4.225
Ta 1.399 3.030 0.000
Ag -0.121 3.030 2.852
```

Computed properties:
The total magnetization comes out at 0.0000 μB/atom. Its volume is 97 Å³/f.u. Its density of states at the Fermi level is 0.84 states/eV per atom. The calculation puts the raw total energy at -27.531 eV/atom.